Record 1
A geometry-optimized KLi2Fe structure, computed with PBE.

Unit cell a=4.781 b=4.781 c=10.445 alpha=76.77 beta=76.77 gamma=90.00
Sites, in units of the cell vectors:
K (0.500, 0.500, 0.000)
K (0.250, 0.750, 0.500)
Li (0.727, 0.125, 0.250)
Li (0.875, 0.977, 0.750)
Li (0.023, 0.625, 0.250)
Li (0.375, 0.273, 0.750)
Fe (0.000, 0.000, 0.000)
Fe (0.750, 0.250, 0.500)

Summary:
Total DFT energy (no corrections), eV per atom: -2.494
ΔH_f (0 K), eV per atom: 0.85
Total magnetization, μB/f.u.: 2.9
Polymorph energy (0 for the lowest one), kcal/mol of atoms: 6.93

Record 2
A geometry-optimized KLi2Fe structure, computed with PBE.

Unit cell a=3.323 b=3.323 c=8.556 alpha=90.00 beta=90.00 gamma=90.00
Sites, in units of the cell vectors:
Li (0.000, 0.000, 0.412)
Li (0.000, 0.000, 0.088)
K (0.500, 0.500, 0.750)
Fe (0.500, 0.500, 0.250)

Summary:
Total DFT energy (no corrections), eV per atom: -2.794
ΔH_f (0 K), eV per atom: 0.55
Total magnetization, μB/f.u.: 2.6
Polymorph energy (0 for the lowest one), kcal/mol of atoms: 0.00

Record 3
A geometry-optimized KLiFe structure, computed with PBE.

Unit cell a=5.425 b=5.425 c=2.781 alpha=90.00 beta=90.00 gamma=120.00
Sites, in units of the cell vectors:
K (0.667, 0.333, 0.475)
Fe (0.000, 0.000, 0.000)
Li (0.333, 0.667, 0.524)

Summary:
Total DFT energy (no corrections), eV per atom: -2.909
ΔH_f (0 K), eV per atom: 0.92
Total magnetization, μB/f.u.: 2.6
Polymorph energy (0 for the lowest one), kcal/mol of atoms: 2.58

Record 4
A geometry-optimized KLi2Fe structure, computed with PBE.

Unit cell a=6.754 b=6.754 c=6.754 alpha=155.68 beta=127.10 gamma=59.04
Sites, in units of the cell vectors:
Li (0.448, 0.448, 0.000)
Li (0.052, 0.052, 0.000)
Fe (0.250, 0.750, 0.500)
K (0.750, 0.250, 0.500)

Summary:
Total DFT energy (no corrections), eV per atom: -2.690
ΔH_f (0 K), eV per atom: 0.66
Total magnetization, μB/f.u.: 2.5
Polymorph energy (0 for the lowest one), kcal/mol of atoms: 2.40

Record 5
A geometry-optimized KLiFe structure, computed with PBE.

Unit cell a=5.053 b=5.053 c=5.053 alpha=60.00 beta=60.00 gamma=60.00
Sites, in units of the cell vectors:
Fe (0.000, 0.000, 0.000)
Li (0.250, 0.250, 0.250)
K (0.500, 0.500, 0.500)

Summary:
Total DFT energy (no corrections), eV per atom: -2.677
ΔH_f (0 K), eV per atom: 1.15
Total magnetization, μB/f.u.: 2.8
Polymorph energy (0 for the lowest one), kcal/mol of atoms: 7.94

Record 6
A geometry-optimized KLi2Fe structure, computed with PBE.

Unit cell a=5.766 b=5.766 c=2.902 alpha=90.00 beta=90.00 gamma=112.43
Sites, in units of the cell vectors:
Li (0.000, 0.000, 0.000)
Li (0.500, 0.500, 0.000)
Fe (0.500, 0.000, 0.500)
K (0.000, 0.500, 0.500)

Summary:
Total DFT energy (no corrections), eV per atom: -2.622
ΔH_f (0 K), eV per atom: 0.73
Total magnetization, μB/f.u.: 2.8
Polymorph energy (0 for the lowest one), kcal/mol of atoms: 3.98

Record 7
A geometry-optimized KLiFe4 structure, computed with PBE.

Unit cell a=5.163 b=5.163 c=5.163 alpha=60.00 beta=60.00 gamma=60.00
Sites, in units of the cell vectors:
Fe (0.373, 0.373, 0.882)
Fe (0.373, 0.373, 0.373)
Fe (0.373, 0.882, 0.373)
Fe (0.882, 0.373, 0.373)
K (0.750, 0.750, 0.750)
Li (0.000, 0.000, 0.000)

Summary:
Total DFT energy (no corrections), eV per atom: -5.399
ΔH_f (0 K), eV per atom: 0.74
Total magnetization, μB/f.u.: 10.2

Record 8
A geometry-optimized KLi4Fe structure, computed with PBE.

Unit cell a=5.829 b=5.829 c=5.829 alpha=60.00 beta=60.00 gamma=60.00
Sites, in units of the cell vectors:
K (0.000, 0.000, 0.000)
Li (0.377, 0.377, 0.868)
Li (0.377, 0.377, 0.377)
Li (0.377, 0.868, 0.377)
Li (0.868, 0.377, 0.377)
Fe (0.750, 0.750, 0.750)

Summary:
Total DFT energy (no corrections), eV per atom: -2.363
ΔH_f (0 K), eV per atom: 0.51
Total magnetization, μB/f.u.: 3.1

Record 9
A geometry-optimized KLi2Fe structure, computed with PBE.

Unit cell a=10.688 b=10.688 c=10.688 alpha=16.78 beta=16.78 gamma=16.78
Sites, in units of the cell vectors:
K (0.758, 0.758, 0.758)
Li (0.986, 0.986, 0.986)
Li (0.243, 0.243, 0.243)
Fe (0.513, 0.513, 0.513)

Summary:
Total DFT energy (no corrections), eV per atom: -2.667
ΔH_f (0 K), eV per atom: 0.68
Total magnetization, μB/f.u.: 2.5
Polymorph energy (0 for the lowest one), kcal/mol of atoms: 2.93

Record 10
A geometry-optimized KLiFe structure, computed with PBE.

Unit cell a=3.141 b=3.141 c=8.120 alpha=90.00 beta=90.00 gamma=120.00
Sites, in units of the cell vectors:
K (0.333, 0.667, 0.313)
Fe (0.000, 0.000, 0.967)
Li (0.667, 0.333, 0.721)

Summary:
Total DFT energy (no corrections), eV per atom: -2.938
ΔH_f (0 K), eV per atom: 0.89
Total magnetization, μB/f.u.: 2.9
Polymorph energy (0 for the lowest one), kcal/mol of atoms: 1.90

Record 11
A geometry-optimized KLi2Fe structure, computed with PBE.

Unit cell a=3.408 b=3.408 c=8.390 alpha=90.00 beta=90.00 gamma=89.93
Sites, in units of the cell vectors:
Li (0.500, 0.500, 0.280)
Li (0.000, 0.000, 0.091)
Fe (0.000, 0.000, 0.412)
K (0.500, 0.500, 0.717)

Summary:
Total DFT energy (no corrections), eV per atom: -2.763
ΔH_f (0 K), eV per atom: 0.58
Total magnetization, μB/f.u.: 2.7
Polymorph energy (0 for the lowest one), kcal/mol of atoms: 0.72

Record 12
A geometry-optimized KLi2Fe structure, computed with PBE.

Unit cell a=5.794 b=5.794 c=5.794 alpha=133.79 beta=133.79 gamma=67.42
Sites, in units of the cell vectors:
Li (0.250, 0.750, 0.500)
Li (0.000, 0.000, 0.000)
K (0.750, 0.250, 0.500)
Fe (0.500, 0.500, 0.000)

Summary:
Total DFT energy (no corrections), eV per atom: -2.571
ΔH_f (0 K), eV per atom: 0.78
Total magnetization, μB/f.u.: 2.8
Polymorph energy (0 for the lowest one), kcal/mol of atoms: 5.14

> Number 10 is which compound?

KLiFe

> Look up the ΔH_f (0 K) of the tenth one.

0.89 eV per atom